The following is a GGA+U calculation of crystalline AlFeSi2O6 at its relaxed geometry, from Alexandria.

The value obtained for the density of states at the Fermi level is 0.01 states/eV/atom. For the electronic total energy, the calculation gives -295.1 eV for the cell shown.

The space group is C2/c (No. 15) and the conventional cell measures 10.040, 10.451 and 5.306 Å, with angles of 90.00, 114.22 and 90.00 degrees. The asymmetric unit holds Al at (0.000, 0.213, 0.250), Fe at (0.000, 0.113, 0.750), Si at (0.199, 0.418, 0.687), O at (0.099, 0.293, 0.560), O at (0.124, 0.112, 0.183) and O at (0.165, 0.474, 0.944).